# In2SnTe

A relaxed In2SnTe crystal (GGA-PBE, Alexandria).

POSCAR file:
```
In2SnTe
1.0
-3.342 3.342 6.770
3.342 -3.342 6.770
3.342 3.342 -6.770
In Sn Te
4 2 2
direct
0.106 0.625 0.981
0.375 0.356 0.481
0.644 0.125 0.019
0.875 0.894 0.519
0.000 0.000 0.000
0.750 0.250 0.500
0.250 0.750 0.500
0.500 0.500 0.000
```

Properties
Formation energy from raw total energies   -0.14 eV/atom
Energy above the most stable polymorph in this dataset   0.0 meV per atom
Calculated volume   302.5 Å³ per cell
ρ   5.2 g cm⁻³

=====

# InSn3Te3

A relaxed InSn3Te3 crystal (GGA-PBE, Alexandria).

POSCAR file:
```
InSn3Te3
1.0
8.250 0.000 0.000
0.000 6.331 0.000
-0.267 0.000 9.598
In Sn Te
2 6 6
direct
0.201 0.250 0.369
0.799 0.750 0.631
0.114 0.750 0.850
0.364 0.250 0.076
0.382 0.250 0.650
0.618 0.750 0.350
0.636 0.750 0.924
0.886 0.250 0.150
0.103 0.250 0.853
0.348 0.750 0.111
0.380 0.750 0.627
0.620 0.250 0.373
0.652 0.250 0.889
0.897 0.750 0.147
```

Properties
Formation energy from raw total energies   -0.11 eV/atom
Calculated volume   501.3 Å³ per cell
ρ   5.7 g cm⁻³

=====

# InSnTe

A relaxed InSnTe crystal (GGA-PBE, Alexandria).

POSCAR file:
```
InSnTe
1.0
4.256 0.000 0.000
-2.128 3.686 0.000
0.000 0.000 5.938
In Sn Te
1 1 1
direct
0.000 0.000 0.000
0.333 0.667 0.345
0.667 0.333 0.670
```

Properties
Formation energy from raw total energies   -0.09 eV/atom
Energy above the most stable polymorph in this dataset   11.4 meV per atom
Calculated volume   93.2 Å³ per cell
ρ   6.4 g cm⁻³

=====

# InSnTe

A relaxed InSnTe crystal (GGA-PBE, Alexandria).

POSCAR file:
```
InSnTe
1.0
4.237 0.000 0.000
0.000 6.627 0.000
-2.054 0.000 6.521
In Sn Te
2 2 2
direct
0.000 0.000 0.000
0.000 0.500 0.000
0.337 0.250 0.681
0.663 0.750 0.319
0.326 0.750 0.659
0.674 0.250 0.341
```

Properties
Formation energy from raw total energies   -0.10 eV/atom
Energy above the most stable polymorph in this dataset   0.0 meV per atom
Calculated volume   183.1 Å³ per cell
ρ   6.5 g cm⁻³

=====

Among the records above, which one has the highest ρ? number 4

=====

Repeat the fourth record exactly.
# InSnTe

A relaxed InSnTe crystal (GGA-PBE, Alexandria).

POSCAR file:
```
InSnTe
1.0
4.237 0.000 0.000
0.000 6.627 0.000
-2.054 0.000 6.521
In Sn Te
2 2 2
direct
0.000 0.000 0.000
0.000 0.500 0.000
0.337 0.250 0.681
0.663 0.750 0.319
0.326 0.750 0.659
0.674 0.250 0.341
```

Properties
Formation energy from raw total energies   -0.10 eV/atom
Energy above the most stable polymorph in this dataset   0.0 meV per atom
Calculated volume   183.1 Å³ per cell
ρ   6.5 g cm⁻³